# 1
{"formula": "NdY6Ho2Th", "functional": "PBE", "state": "optimized geometry", "mass_density_g_cm3": 6.25, "ef_ev_per_atom": 0.149, "lattice_angstrom": [[0.521, -5.182, -7.941], [-3.194, -6.686, 4.777], [-5.953, 5.550, -3.388]], "species": ["Th", "Th", "Nd", "Nd", "Y", "Y", "Y", "Y", "Y", "Y", "Y", "Y", "Y", "Y", "Y", "Y", "Ho", "Ho", "Ho", "Ho"], "fractional_positions": [[0.750, 0.033, 0.967], [0.250, 0.967, 0.033], [0.250, 0.409, 0.591], [0.750, 0.591, 0.409], [0.318, 0.984, 0.429], [0.441, 0.237, 0.886], [0.941, 0.886, 0.237], [0.559, 0.763, 0.114], [0.682, 0.016, 0.571], [0.388, 0.518, 0.294], [0.818, 0.429, 0.984], [0.112, 0.706, 0.482], [0.612, 0.482, 0.706], [0.888, 0.294, 0.518], [0.059, 0.114, 0.763], [0.182, 0.571, 0.016], [0.946, 0.705, 0.803], [0.446, 0.803, 0.705], [0.554, 0.197, 0.295], [0.054, 0.295, 0.197]]}



# 2
{"formula": "Nd6Y2HoTh", "functional": "PBE", "state": "optimized geometry", "mass_density_g_cm3": 6.96, "ef_ev_per_atom": 0.145, "lattice_angstrom": [[9.130, -2.011, -2.087], [0.959, 8.680, -1.859], [0.959, -2.179, 8.605]], "species": ["Nd", "Nd", "Nd", "Nd", "Nd", "Nd", "Nd", "Nd", "Nd", "Nd", "Nd", "Nd", "Ho", "Ho", "Y", "Y", "Y", "Y", "Th", "Th"], "fractional_positions": [[0.438, 0.235, 0.890], [0.191, 0.574, 0.006], [0.309, 0.994, 0.426], [0.062, 0.110, 0.765], [0.938, 0.890, 0.235], [0.691, 0.006, 0.574], [0.809, 0.426, 0.994], [0.562, 0.765, 0.110], [0.885, 0.296, 0.522], [0.385, 0.522, 0.296], [0.615, 0.478, 0.704], [0.115, 0.704, 0.478], [0.250, 0.410, 0.590], [0.750, 0.590, 0.410], [0.945, 0.707, 0.797], [0.055, 0.293, 0.203], [0.445, 0.797, 0.707], [0.555, 0.203, 0.293], [0.750, 0.035, 0.965], [0.250, 0.965, 0.035]]}



# 3
{"formula": "NdHoThZn", "functional": "PBE", "state": "optimized geometry", "mass_density_g_cm3": 9.00, "ef_ev_per_atom": -0.148, "lattice_angstrom": [[-0.262, -3.579, 0.217], [2.364, -0.336, -2.687], [6.492, -0.127, 5.727]], "species": ["Zn", "Th", "Nd", "Ho"], "fractional_positions": [[0.500, 0.500, 0.334], [0.500, 0.500, 0.813], [0.000, 0.000, 0.106], [0.000, 0.000, 0.533]]}



# 4
{"formula": "NdHoThZr", "functional": "PBE", "state": "optimized geometry", "mass_density_g_cm3": 8.87, "ef_ev_per_atom": 0.169, "lattice_angstrom": [[-1.744, -3.733, 3.661], [3.553, -2.214, 3.585], [-0.300, 1.313, 5.345]], "species": ["Th", "Nd", "Zr", "Ho"], "fractional_positions": [[0.000, 0.000, 0.000], [0.500, 0.500, 0.500], [0.250, 0.250, 0.250], [0.750, 0.750, 0.750]]}



# 5
{"formula": "Nd2HoTi", "functional": "PBE", "state": "optimized geometry", "mass_density_g_cm3": 6.98, "ef_ev_per_atom": 0.452, "lattice_angstrom": [[-0.682, -1.623, -2.909], [-1.730, -2.926, 0.051], [-11.036, 4.517, -1.919]], "species": ["Nd", "Nd", "Ho", "Ti"], "fractional_positions": [[0.083, 0.083, 0.751], [0.917, 0.917, 0.249], [0.500, 0.500, 0.500], [0.000, 0.000, 0.000]]}



# 6
{"formula": "NdHoTi", "functional": "PBE", "state": "optimized geometry", "mass_density_g_cm3": 7.11, "ef_ev_per_atom": 0.089, "lattice_angstrom": [[3.582, 0.000, 0.000], [0.000, 3.582, 0.000], [0.000, 0.000, 12.996]], "species": ["Ti", "Ti", "Nd", "Nd", "Ho", "Ho"], "fractional_positions": [[0.500, 0.000, 0.042], [0.000, 0.500, 0.958], [0.500, 0.000, 0.400], [0.000, 0.500, 0.600], [0.500, 0.000, 0.807], [0.000, 0.500, 0.193]]}



# 7
{"formula": "Nd2HoTi", "functional": "PBE", "state": "optimized geometry", "mass_density_g_cm3": 7.20, "ef_ev_per_atom": 0.232, "lattice_angstrom": [[3.934, 0.000, 0.000], [0.000, 3.934, 0.000], [0.000, 0.000, 7.472]], "species": ["Ti", "Ho", "Nd", "Nd"], "fractional_positions": [[0.500, 0.500, 0.000], [0.500, 0.500, 0.500], [0.000, 0.000, 0.217], [0.000, 0.000, 0.783]]}



# 8
{"formula": "Nd2Ho3Tl3", "functional": "PBE", "state": "optimized geometry", "mass_density_g_cm3": 10.02, "ef_ev_per_atom": -0.241, "lattice_angstrom": [[4.961, 0.000, 0.000], [0.000, 5.051, 0.000], [0.000, 0.000, 9.232]], "species": ["Tl", "Tl", "Tl", "Ho", "Ho", "Ho", "Nd", "Nd"], "fractional_positions": [[0.000, 0.500, 0.000], [0.000, 0.500, 0.500], [0.500, 0.000, 0.500], [0.500, 0.000, 0.000], [0.500, 0.500, 0.730], [0.500, 0.500, 0.270], [0.000, 0.000, 0.255], [0.000, 0.000, 0.745]]}